{
  "formula": "NaCeGa",
  "functional": "PBE-GGA",
  "state": "optimized geometry",
  "lattice": [[-5.0129, -1.1069, 2.9486], [-2.7437, -4.1484, -0.2786], [0.9898, -3.1984, 6.4254]],
  "species": ["Ga", "Ga", "Ce", "Ce", "Na", "Na"],
  "fractional_positions": [[0.3969, 0.0000, 0.2062], [0.6031, 0.0000, 0.7938], [0.7500, 0.5000, 0.5000], [0.2500, 0.5000, 0.5000], [0.8337, 0.3327, 0.0000], [0.1663, 0.6673, 0.0000]],
  "space_group": "No. 69",
  "m_tot_mub_per_fu": 1.33,
  "ef_ev_per_fu": 0.1,
  "energy_ev_per_atom": -3.4047
}

***

{
  "formula": "NaCeGa2",
  "functional": "PBE-GGA",
  "state": "optimized geometry",
  "lattice": [[-2.0669, 0.2405, 4.6013], [-4.3978, -2.3069, 0.9163], [-0.1320, -4.1132, 2.9268]],
  "species": ["Ce", "Ga", "Ga", "Na"],
  "fractional_positions": [[0.0000, 0.0000, 0.0000], [0.7500, 0.7500, 0.7500], [0.2500, 0.2500, 0.2500], [0.5000, 0.5000, 0.5000]],
  "space_group": "No. 225",
  "m_tot_mub_per_fu": 0.69,
  "ef_ev_per_fu": -1.0,
  "energy_ev_per_atom": -3.5856,
  "polymorph_energy_mev_per_atom": 0
}

***

{
  "formula": "NaCeGa4",
  "functional": "PBE-GGA",
  "state": "optimized geometry",
  "lattice": [[-5.5559, 0.5115, 0.2950], [-2.6274, -0.8271, 4.8610], [-2.2671, 4.3214, 2.7209]],
  "species": ["Ga", "Ga", "Ga", "Ga", "Na", "Ce"],
  "fractional_positions": [[0.6256, 0.6256, 0.1232], [0.6256, 0.1232, 0.6256], [0.1232, 0.6256, 0.6256], [0.6256, 0.6256, 0.6256], [0.2500, 0.2500, 0.2500], [0.0000, 0.0000, 0.0000]],
  "space_group": "No. 216",
  "m_tot_mub_per_fu": 1.01,
  "ef_ev_per_fu": -1.7,
  "energy_ev_per_atom": -3.5090
}

***

{
  "formula": "NaCeGa4",
  "functional": "PBE-GGA",
  "state": "optimized geometry",
  "lattice": [[-1.9204, 2.1882, -1.8732], [-2.8028, -3.4282, -1.1314], [-4.4658, 1.5449, 6.3826]],
  "species": ["Ga", "Ga", "Ga", "Ga", "Na", "Ce"],
  "fractional_positions": [[0.4986, 0.9973, 0.1667], [0.4985, 0.9973, 0.8296], [0.4986, 0.4973, 0.6606], [0.4985, 0.4973, 0.3357], [0.9986, 0.9973, 0.4981], [0.9986, 0.4973, 0.9981]],
  "space_group": "No. 47",
  "m_tot_mub_per_fu": 0.82,
  "ef_ev_per_fu": -1.9,
  "energy_ev_per_atom": -3.5410
}

***

{
  "formula": "NaCe2Ga",
  "functional": "PBE-GGA",
  "state": "optimized geometry",
  "lattice": [[-3.0788, 0.3692, -0.5913], [-1.9820, -2.4277, 0.3780], [-3.5035, 2.5878, 11.4321]],
  "species": ["Ga", "Na", "Ce", "Ce"],
  "fractional_positions": [[0.5000, 0.5000, 0.5000], [0.0000, 0.0000, 0.0000], [0.0964, 0.0964, 0.7109], [0.9036, 0.9036, 0.2891]],
  "space_group": "No. 166",
  "m_tot_mub_per_fu": 0.63,
  "ef_ev_per_fu": 0.2,
  "energy_ev_per_atom": -4.0148
}

***

{
  "formula": "NaCe2GaO6",
  "functional": "PBE-GGA",
  "state": "optimized geometry",
  "lattice": [[5.2241, 0.0000, 0.0000], [0.0000, 5.2528, 0.0000], [0.0000, 0.0000, 5.2528]],
  "species": ["O", "O", "O", "O", "O", "O", "Ga", "Ce", "Ce", "Na"],
  "fractional_positions": [[0.2288, 0.0000, 0.0000], [0.7473, 0.2373, 0.2373], [0.7473, 0.2373, 0.7627], [0.7473, 0.7627, 0.7627], [0.1296, 0.5000, 0.5000], [0.7473, 0.7627, 0.2373], [0.5856, 0.0000, 0.0000], [0.9841, 0.0000, 0.5000], [0.9841, 0.5000, 0.0000], [0.5455, 0.5000, 0.5000]],
  "space_group": "No. 99",
  "m_tot_mub_per_fu": 0.00,
  "formation_energy_uncorrected_ev_per_fu": -24.28,
  "energy_ev_per_atom": -7.0241
}

***

{
  "formula": "NaCeGaO4",
  "functional": "PBE-GGA",
  "state": "optimized geometry",
  "lattice": [[5.5093, -0.0390, 0.0000], [-2.2487, 5.0296, 0.0000], [0.0000, 0.0000, 7.3397]],
  "species": ["O", "O", "O", "O", "O", "O", "O", "O", "Na", "Na", "Ga", "Ga", "Ce", "Ce"],
  "fractional_positions": [[0.2211, 0.2837, 0.7500], [0.7275, 0.2725, 0.5460], [0.7163, 0.7789, 0.7500], [0.2837, 0.2211, 0.2500], [0.2725, 0.7275, 0.4540], [0.7275, 0.2725, 0.9540], [0.7789, 0.7163, 0.2500], [0.2725, 0.7275, 0.0460], [0.1769, 0.8231, 0.7500], [0.8231, 0.1769, 0.2500], [0.1553, 0.8447, 0.2500], [0.8447, 0.1553, 0.7500], [0.5000, 0.5000, 0.0000], [0.5000, 0.5000, 0.5000]],
  "space_group": "No. 63",
  "m_tot_mub_per_fu": 0.00,
  "formation_energy_uncorrected_ev_per_fu": -17.10,
  "energy_ev_per_atom": -6.7445
}

***

{
  "formula": "Na2CeGa2O6",
  "functional": "PBE-GGA",
  "state": "optimized geometry",
  "lattice": [[-2.9882, 4.1516, -1.8549], [-0.9339, -5.0460, -1.8089], [-3.7819, -0.8234, 4.2495]],
  "species": ["O", "O", "O", "O", "O", "O", "Na", "Na", "Ga", "Ga", "Ce"],
  "fractional_positions": [[0.6337, 0.0000, 0.8081], [0.0000, 0.6337, 0.8081], [0.3663, 0.0000, 0.1919], [0.6337, 0.6337, 0.1919], [0.0000, 0.3663, 0.1919], [0.3663, 0.3663, 0.8081], [0.6667, 0.3333, 0.5000], [0.3333, 0.6667, 0.5000], [0.6667, 0.3333, 0.0000], [0.3333, 0.6667, 0.0000], [0.0000, 0.0000, 0.0000]],
  "space_group": "No. 162",
  "m_tot_mub_per_fu": 0.00,
  "formation_energy_uncorrected_ev_per_fu": -23.51,
  "energy_ev_per_atom": -6.1717
}

***

{
  "formula": "NaCeGa2Pt2",
  "functional": "PBE-GGA",
  "state": "optimized geometry",
  "lattice": [[-0.3721, -4.3848, -0.8260], [1.4655, 2.7649, -3.2023], [6.3022, -0.9273, 2.0835]],
  "species": ["Na", "Pt", "Pt", "Ga", "Ga", "Ce"],
  "fractional_positions": [[0.0000, 0.0000, 0.5000], [0.3333, 0.6667, 0.7391], [0.6667, 0.3333, 0.2609], [0.6667, 0.3333, 0.6985], [0.3333, 0.6667, 0.3015], [0.0000, 0.0000, 0.0000]],
  "space_group": "No. 164",
  "m_tot_mub_per_fu": 0.57,
  "ef_ev_per_fu": -4.3,
  "energy_ev_per_atom": -4.9419
}

***

{
  "formula": "NaCe2Ga3Pt4",
  "functional": "PBE-GGA",
  "state": "optimized geometry",
  "lattice": [[-1.6772, -3.0254, -2.2051], [-0.5685, -2.1825, 3.4267], [-10.6028, 4.8901, 1.3555]],
  "species": ["Ga", "Ga", "Ga", "Ce", "Ce", "Pt", "Pt", "Pt", "Pt", "Na"],
  "fractional_positions": [[0.0000, 0.5000, 0.1264], [0.0000, 0.0000, 0.5000], [0.5000, 0.0000, 0.8736], [0.0000, 0.5000, 0.7569], [0.5000, 0.0000, 0.2431], [0.5000, 0.5000, 0.0000], [0.0000, 0.5000, 0.3391], [0.5000, 0.0000, 0.6609], [0.0000, 0.0000, 0.0000], [0.5000, 0.5000, 0.5000]],
  "space_group": "No. 115",
  "m_tot_mub_per_fu": 1.73,
  "ef_ev_per_fu": -7.9,
  "energy_ev_per_atom": -5.4307
}

***

{
  "formula": "NaCe2Ga2Pt7",
  "functional": "PBE-GGA",
  "state": "optimized geometry",
  "lattice": [[4.0818, 0.0316, -0.0443], [0.0365, 4.0818, -0.0443], [1.8362, 1.8339, 13.5324]],
  "species": ["Na", "Pt", "Pt", "Pt", "Pt", "Pt", "Pt", "Pt", "Ga", "Ga", "Ce", "Ce"],
  "fractional_positions": [[0.0000, 0.0000, 0.0000], [0.5614, 0.0618, 0.8499], [0.6451, 0.6451, 0.5664], [0.0618, 0.5614, 0.8499], [0.5000, 0.5000, 0.0000], [0.9382, 0.4386, 0.1501], [0.3549, 0.3549, 0.4336], [0.4386, 0.9382, 0.1501], [0.3952, 0.3952, 0.2539], [0.6048, 0.6048, 0.7461], [0.8660, 0.8660, 0.3448], [0.1340, 0.1340, 0.6552]],
  "space_group": "No. 12",
  "m_tot_mub_per_fu": 0.96,
  "ef_ev_per_fu": -8.1,
  "energy_ev_per_atom": -5.8015
}

***

{
  "formula": "Na2CeGaS4",
  "functional": "PBE-GGA",
  "state": "optimized geometry",
  "lattice": [[7.9397, -0.0248, -0.2245], [-0.0303, 7.9397, -0.2245], [-4.0694, -4.0722, 5.8209]],
  "species": ["Ga", "Ga", "S", "S", "S", "S", "S", "S", "S", "S", "Na", "Na", "Na", "Na", "Ce", "Ce"],
  "fractional_positions": [[0.5000, 0.5000, 0.5000], [0.0000, 0.0000, 0.0000], [0.7528, 0.7477, 0.9630], [0.2350, 0.7521, 0.9936], [0.2521, 0.7350, 0.4936], [0.7523, 0.7472, 0.5370], [0.2472, 0.2523, 0.0370], [0.2477, 0.2528, 0.4630], [0.7650, 0.2479, 0.0064], [0.7479, 0.2650, 0.5064], [0.5000, 0.5000, 0.0000], [0.5000, 0.0000, 0.0000], [0.0000, 0.0000, 0.5000], [0.5000, 0.0000, 0.5000], [0.0000, 0.5000, 0.0000], [0.0000, 0.5000, 0.5000]],
  "space_group": "No. 74",
  "m_tot_mub_per_fu": 0.64,
  "formation_energy_uncorrected_ev_per_fu": -9.81,
  "energy_ev_per_atom": -4.7398
}

***

Number 4 is which compound? NaCeGa4